BaCrPO2 | GGA+U | relaxed Values from VASP.

## Properties
M_tot in μB/atom: 0.313
ΔE to the lowest computed polymorph in eV/f.u.: 0.000
Calculated total energy in eV per atom: -5.93
Symmetry: No. 123

Geometry as Quantum ESPRESSO input:
```
&SYSTEM
  ibrav = 0, nat = 5, ntyp = 4
/
ATOMIC_SPECIES
Ba 137.33 Ba.upf
Cr 52.00 Cr.upf
P 30.97 P.upf
O 16.00 O.upf
CELL_PARAMETERS angstrom
4.249 0.000 0.000
0.000 4.249 0.000
0.000 0.000 4.603
ATOMIC_POSITIONS crystal
Ba 0.000 0.000 0.000
Cr 0.500 0.500 0.500
P 0.500 0.500 0.000
O 0.000 0.500 0.500
O 0.500 0.000 0.500
```